Run i
Material: ZrTl3F
Method: DFT, PBE-GGA
State: relaxed

Cell lengths 5.7940, 5.7940, 5.7940 Å; angles 90.00, 90.00, 90.00 degrees
Last column: nearest neighbours and their distance in Å.
Fractional coordinates of all 5 atoms:
Tl 0.5000 0.0000 0.0000  2 Zr 2.90
Zr 0.0000 0.0000 0.0000  6 Tl 2.90
F 0.5000 0.5000 0.5000  12 Tl 4.10
Tl 0.0000 0.0000 0.5000  2 Zr 2.90
Tl 0.0000 0.5000 0.0000  2 Zr 2.90

Summary:
- Space group: Pm-3m, No. 221



Run ii
Material: ZrTl3F
Method: DFT, PBE-GGA
State: relaxed

Cell lengths 4.9397, 4.9397, 4.9397 Å; angles 90.00, 90.00, 90.00 degrees
Last column: nearest neighbours and their distance in Å.
Fractional coordinates of all 5 atoms:
Zr 0.5000 0.5000 0.5000  12 Tl 3.49
Tl 0.0000 0.5000 0.0000  2 F 2.47
F 0.0000 0.0000 0.0000  6 Tl 2.47
Tl 0.5000 0.0000 0.0000  2 F 2.47
Tl 0.0000 0.0000 0.5000  2 F 2.47

Summary:
- Space group: Pm-3m, No. 221



The data favor run ii; the next most stable structure lies 0.506 eV/atom above it.



Run i
Material: Tm2ZnF8
Method: DFT, PBE-GGA
State: relaxed

Cell lengths 4.8461, 5.7748, 5.7748 Å; angles 73.81, 103.15, 103.15 degrees
Last column: nearest neighbours and their distance in Å.
Fractional coordinates of all 11 atoms:
Zn 0.0000 0.0000 0.0000  6 F 1.94-2.12
F 0.2293 0.4295 0.4295  2 Tm 2.21-2.24
Tm 0.5888 0.3223 0.3223  7 F 2.10-2.29
F 0.2278 0.8582 0.8582  1 Zn 1.94, 1 Tm 2.10
F 0.7223 0.6554 0.0446  1 Zn 2.12, 2 Tm 2.21-2.29
F 0.7722 0.1418 0.1418  1 Zn 1.94, 1 Tm 2.10
F 0.2777 0.3446 0.9554  1 Zn 2.12, 2 Tm 2.21-2.29
Tm 0.4112 0.6777 0.6777  7 F 2.10-2.29
F 0.7223 0.0446 0.6554  1 Zn 2.12, 2 Tm 2.21-2.29
F 0.7707 0.5705 0.5705  2 Tm 2.21-2.24
F 0.2777 0.9554 0.3446  1 Zn 2.12, 2 Tm 2.21-2.29

Summary:
- Space group: C2/m, No. 12



Run ii
Material: Tm2ZnF8
Method: DFT, PBE-GGA
State: relaxed

Cell lengths 3.3257, 5.7784, 8.1300 Å; angles 87.61, 101.80, 90.00 degrees
Last column: nearest neighbours and their distance in Å.
Fractional coordinates of all 11 atoms:
F 0.6294 0.9295 0.2589  1 Zn 2.08, 2 Tm 2.31
F 0.3911 0.5315 0.7822  2 Tm 2.14
Tm 0.8443 0.3423 0.6885  8 F 2.14-2.31
F 0.9821 0.2186 0.9642  2 Zn 2.10, 1 Tm 2.28
F 0.3706 0.0705 0.7411  1 Zn 2.08, 2 Tm 2.31
F 0.6089 0.4685 0.2178  2 Tm 2.14
F 0.7567 0.6684 0.5134  3 Tm 2.30-2.31, 1 F 2.47
Tm 0.1557 0.6577 0.3115  8 F 2.14-2.31
Zn 0.5000 0.0000 0.0000  6 F 2.08-2.10
F 0.2433 0.3316 0.4866  3 Tm 2.30-2.31, 1 F 2.47
F 0.0179 0.7814 0.0358  2 Zn 2.10, 1 Tm 2.28

Summary:
- Space group: C2/m, No. 12



The data favor run i; the next most stable structure lies 0.069 eV/atom above it.



Run i
Material: UF5
Method: DFT, PBE-GGA
State: relaxed

Cell lengths 5.5642, 5.5642, 8.6225 Å; angles 100.07, 104.38, 110.12 degrees
Last column: nearest neighbours and their distance in Å.
Fractional coordinates of all 12 atoms:
U 0.0000 0.0000 0.0000  4 F 2.02-2.03
F 0.1265 0.7938 0.5075  1 U 2.02
F 0.2191 0.8747 0.8746  1 U 2.03
F 0.7101 0.9601 0.7500  2 U 2.27
F 0.4999 0.6555 0.3746  1 U 2.03
U 0.5000 0.0000 0.5000  4 F 2.02-2.03
F 0.8735 0.2062 0.4925  1 U 2.02
F 0.2899 0.0399 0.2500  2 U 2.27
F 0.7809 0.1253 0.1254  1 U 2.03
F 0.7863 0.6190 0.9925  1 U 2.02
F 0.2137 0.3810 0.0075  1 U 2.02
F 0.5001 0.3445 0.6254  1 U 2.03

Summary:
- Space group: C2/c, No. 15



Run ii
Material: UF5
Method: DFT, PBE-GGA
State: relaxed

Cell lengths 8.7231, 8.7234, 8.8551 Å; angles 98.12, 98.12, 135.50 degrees
Last column: nearest neighbours and their distance in Å.
Fractional coordinates of all 24 atoms:
U 0.2039 0.3950 0.3375  5 F 2.01-2.24
U 0.1165 0.8076 0.1625  5 F 2.01-2.24
F 0.1074 0.8882 0.9344  2 U 2.24-2.34
F 0.1341 0.6257 0.0107  1 U 2.04
F 0.3334 0.2160 0.7570  1 U 2.01
F 0.9361 0.2146 0.4198  1 U 2.01
F 0.4660 0.0834 0.2570  1 U 2.01
F 0.0886 0.0355 0.2189  1 U 2.17
F 0.1383 0.8574 0.4344  2 U 2.24-2.34
F 0.8167 0.8699 0.7810  1 U 2.17
F 0.4230 0.7039 0.5656  2 U 2.24-2.34
F 0.8261 0.2090 0.7431  1 U 2.01
F 0.2855 0.8387 0.7189  1 U 2.17
U 0.0576 0.8665 0.6625  5 F 2.01-2.24
U 0.6450 0.9539 0.8374  5 F 2.01-2.24
F 0.4590 0.5761 0.2432  1 U 2.01
F 0.3731 0.3647 0.4894  1 U 2.04
F 0.7664 0.5446 0.0800  1 U 2.01
F 0.1199 0.5667 0.2811  1 U 2.17
F 0.6148 0.1231 0.9894  1 U 2.04
F 0.9539 0.1730 0.0656  2 U 2.24-2.34
F 0.7946 0.5164 0.5800  1 U 2.01
F 0.4645 0.6861 0.9198  1 U 2.01
F 0.8757 0.8841 0.5107  1 U 2.04

Summary:
- Space group: Fdd2, No. 43



The data favor run i; the next most stable structure lies 0.028 eV/atom above it.